(1)
Computed, not measured: a relaxed structure of Zr2TiBeN at the PBE level of DFT.

a b c (Å): 4.461 4.461 4.004
angles (deg): 90.00 90.00 90.00
Space group P4/mmm (No. 123)
Unique sites:
Zr 0.000 0.500 0.000 (multiplicity 2)
Ti 0.000 0.000 0.500 (multiplicity 1)
Be 0.500 0.500 0.500 (multiplicity 1)
N 0.000 0.000 0.000 (multiplicity 1)

**Calculated volume**: 80 Å³/cell
**Uncorrected formation energy**: -3.4 eV/f.u.
**D(E_F)**: 0.689 states/eV/atom

(2)
Computed, not measured: a relaxed structure of ZnHgSeN2 at the PBE level of DFT.

a b c (Å): 3.980 3.980 5.863
angles (deg): 90.00 90.00 90.00
Space group P4/mmm (No. 123)
Unique sites:
Zn 0.000 0.000 0.000 (multiplicity 1)
Hg 0.500 0.500 0.500 (multiplicity 1)
Se 0.000 0.000 0.500 (multiplicity 1)
N 0.000 0.500 0.000 (multiplicity 2)

**Calculated volume**: 93 Å³/cell
**Uncorrected formation energy**: 6.8 eV/f.u.
**D(E_F)**: 0.461 states/eV/atom

(3)
Computed, not measured: a relaxed structure of Sr3CdPd at the PBE level of DFT.

a b c (Å): 5.903 5.903 5.903
angles (deg): 90.00 90.00 90.00
Space group Pm-3m (No. 221)
Unique sites:
Sr 0.000 0.000 0.500 (multiplicity 3)
Cd 0.500 0.500 0.500 (multiplicity 1)
Pd 0.000 0.000 0.000 (multiplicity 1)

**Calculated volume**: 206 Å³/cell
**ΔH_f (0 K)**: -0.293 eV/atom
**D(E_F)**: 0.563 states/eV/atom

(4)
Computed, not measured: a relaxed structure of Dy2YPa at the PBE level of DFT.

a b c (Å): 3.4021 3.4021 36.2420
angles (deg): 90.00 90.00 120.00
Space group R-3m (No. 166, hexagonal axes)
Unique sites:
Dy 0.0000 0.0000 0.0922 (multiplicity 6)
Y 0.0000 0.0000 0.0000 (multiplicity 3)
Pa 0.0000 0.0000 0.5000 (multiplicity 3)

**Calculated volume**: 363 Å³/cell
**ΔH_f (0 K)**: 0.224 eV/atom
**D(E_F)**: 1.711 states/eV/atom

(5)
Computed, not measured: a relaxed structure of Tl2Hg5Pd at the PBE level of DFT.

a b c (Å): 5.533 5.575 7.069
angles (deg): 96.19 99.79 98.68
Space group P1 (No. 1)
Unique sites:
Tl 0.000 0.000 0.000 (multiplicity 1)
Tl 0.407 0.587 0.934 (multiplicity 1)
Hg 0.080 0.580 0.296 (multiplicity 1)
Hg 0.170 0.114 0.517 (multiplicity 1)
Hg 0.583 0.237 0.271 (multiplicity 1)
Hg 0.626 0.812 0.521 (multiplicity 1)
Hg 0.840 0.415 0.723 (multiplicity 1)
Pd 0.484 0.082 0.870 (multiplicity 1)

**Calculated volume**: 210 Å³/cell
**ΔH_f (0 K)**: -0.019 eV/atom
**D(E_F)**: 0.360 states/eV/atom